Record 1
# PBEsol RhBrCl2, relaxed
data_RhBrCl2
_chemical_formula_sum 'Rh1 Br1 Cl2'
_symmetry_space_group_name_H-M 'P 1'
_symmetry_Int_Tables_number 1
_cell_length_a 3.0170
_cell_length_b 3.0170
_cell_length_c 9.3641
_cell_angle_alpha 90.00
_cell_angle_beta 90.00
_cell_angle_gamma 90.00
loop_
_symmetry_equiv_pos_as_xyz
'x,y,z'
loop_
_atom_site_label
_atom_site_type_symbol
_atom_site_fract_x
_atom_site_fract_y
_atom_site_fract_z
_atom_site_occupancy
Rh1 Rh 0.5000 0.5000 0.0000 1
Cl1 Cl 0.0000 0.0000 0.8448 1
Cl2 Cl 0.0000 0.0000 0.1552 1
Br1 Br 0.5000 0.5000 0.5000 1
# crystal system: tetragonal
# magnetization: 0.214 μB/atom
# E_form (uncorrected): 0.92 eV/f.u.
# SG: P4/mmm
# energy relative to the lowest polymorph listed for this composition: 0 meV/atom



Record 2
# PBEsol Rh2BrCl, relaxed
data_Rh2BrCl
_chemical_formula_sum 'Rh2 Br1 Cl1'
_symmetry_space_group_name_H-M 'P 1'
_symmetry_Int_Tables_number 1
_cell_length_a 3.1262
_cell_length_b 4.1467
_cell_length_c 5.4087
_cell_angle_alpha 102.44
_cell_angle_beta 90.00
_cell_angle_gamma 112.15
loop_
_symmetry_equiv_pos_as_xyz
'x,y,z'
loop_
_atom_site_label
_atom_site_type_symbol
_atom_site_fract_x
_atom_site_fract_y
_atom_site_fract_z
_atom_site_occupancy
Rh1 Rh 0.7510 0.5019 0.7560 1
Rh2 Rh 0.2490 0.4981 0.2440 1
Cl1 Cl 0.5000 0.0000 0.0000 1
Br1 Br 0.0000 0.0000 0.5000 1
# crystal system: monoclinic
# magnetization: 0.001 μB/atom
# E_form (uncorrected): 1.70 eV/f.u.
# SG: C2/m
# energy relative to the lowest polymorph listed for this composition: 0 meV/atom



Record 3
# PBEsol RhBrCl2, relaxed
data_RhBrCl2
_chemical_formula_sum 'Rh1 Br1 Cl2'
_symmetry_space_group_name_H-M 'P 1'
_symmetry_Int_Tables_number 1
_cell_length_a 3.1204
_cell_length_b 3.1204
_cell_length_c 7.8009
_cell_angle_alpha 90.00
_cell_angle_beta 90.00
_cell_angle_gamma 90.00
loop_
_symmetry_equiv_pos_as_xyz
'x,y,z'
loop_
_atom_site_label
_atom_site_type_symbol
_atom_site_fract_x
_atom_site_fract_y
_atom_site_fract_z
_atom_site_occupancy
Br1 Br 0.5000 0.5000 0.7000 1
Cl1 Cl 0.0000 0.0000 0.9691 1
Cl2 Cl 0.5000 0.5000 0.3186 1
Rh1 Rh 0.0000 0.0000 0.5123 1
# crystal system: tetragonal
# magnetization: 0.001 μB/atom
# E_form (uncorrected): 1.34 eV/f.u.
# SG: P4mm
# energy relative to the lowest polymorph listed for this composition: 106 meV/atom



Record 4
# PBEsol RhBrCl2, relaxed
data_RhBrCl2
_chemical_formula_sum 'Rh1 Br1 Cl2'
_symmetry_space_group_name_H-M 'P 1'
_symmetry_Int_Tables_number 1
_cell_length_a 3.0103
_cell_length_b 4.9658
_cell_length_c 4.9658
_cell_angle_alpha 91.15
_cell_angle_beta 90.00
_cell_angle_gamma 90.00
loop_
_symmetry_equiv_pos_as_xyz
'x,y,z'
loop_
_atom_site_label
_atom_site_type_symbol
_atom_site_fract_x
_atom_site_fract_y
_atom_site_fract_z
_atom_site_occupancy
Cl1 Cl 0.0000 0.5000 0.0000 1
Cl2 Cl 0.0000 0.0000 0.5000 1
Br1 Br 0.5000 0.5000 0.5000 1
Rh1 Rh 0.5000 0.0000 0.0000 1
# crystal system: orthorhombic
# magnetization: 0.587 μB/atom
# E_form (uncorrected): 3.14 eV/f.u.
# SG: Cmmm
# energy relative to the lowest polymorph listed for this composition: 554 meV/atom